Entry 1:
First-principles (PBE-GGA) data for an optimized crystal structure of Ca2Bi2O, as listed in Alexandria via LeMat-Bulk.

**Volume**: 259.1 Å³ per cell
**Formation energy (no corrections)**: -1069 meV per atom
**Energy relative to the lowest polymorph listed for this composition**: 0.000 eV/atom
**Crystal system**: tetragonal

a = 6.532 Å, b = 6.532 Å, c = 6.071 Å
α = 90.00°, β = 90.00°, γ = 90.00°
Space group P4/mbm (No. 127)
Inequivalent atoms, fractional coordinates:
Ca1 0.196 0.304 0.000 (multiplicity 4)
Bi1 0.178 0.678 0.500 (multiplicity 4)
O1 0.000 0.000 0.000 (multiplicity 2)



Entry 2:
First-principles (PBE-GGA) data for an optimized crystal structure of TbFeGe3Ir, as listed in Alexandria via LeMat-Bulk.

**Volume**: 476.8 Å³ per cell
**Crystal system**: orthorhombic
**DFT formation energy**: -0.235 eV per atom

a = 6.345 Å, b = 12.852 Å, c = 5.847 Å
α = 90.00°, β = 90.00°, γ = 90.00°
Space group Cmcm (No. 63)
Inequivalent atoms, fractional coordinates:
Tb1 0.000 0.191 0.250 (multiplicity 4)
Fe1 0.000 0.032 0.750 (multiplicity 4)
Ge1 0.000 0.204 0.750 (multiplicity 4)
Ge2 0.217 0.500 0.000 (multiplicity 8)
Ir1 0.000 0.385 0.750 (multiplicity 4)



Entry 3:
First-principles (PBE-GGA) data for an optimized crystal structure of Ir2RuAu, as listed in Alexandria via LeMat-Bulk.

**Volume**: 248.1 Å³ per cell
**Energy relative to the lowest polymorph listed for this composition**: 0.469 eV/atom
**Crystal system**: cubic
**DFT formation energy**: 0.626 eV per atom

a = 6.283 Å, b = 6.283 Å, c = 6.283 Å
α = 90.00°, β = 90.00°, γ = 90.00°
Space group F-43m (No. 216)
Inequivalent atoms, fractional coordinates:
Ir1 0.000 0.000 0.000 (multiplicity 4)
Ir2 0.250 0.250 0.250 (multiplicity 4)
Ru1 0.000 0.000 0.500 (multiplicity 4)
Au1 0.250 0.250 0.750 (multiplicity 4)



Entry 4:
First-principles (PBE-GGA) data for an optimized crystal structure of Cd2Hg5Pb4, as listed in Alexandria via LeMat-Bulk.

**Volume**: 303.9 Å³ per cell
**Crystal system**: monoclinic
**DFT formation energy**: 0.041 eV per atom

a = 8.278 Å, b = 3.513 Å, c = 10.586 Å
α = 90.00°, β = 99.21°, γ = 90.00°
Space group P2/m (No. 10)
Inequivalent atoms, fractional coordinates:
Cd1 0.196 0.000 0.047 (multiplicity 2)
Hg1 0.000 0.000 0.500 (multiplicity 1)
Hg2 0.301 0.000 0.326 (multiplicity 2)
Hg3 0.427 0.000 0.857 (multiplicity 2)
Pb1 0.051 0.500 0.792 (multiplicity 2)
Pb2 0.339 0.500 0.590 (multiplicity 2)



Entry 5:
First-principles (PBE-GGA) data for an optimized crystal structure of Ac2GaAs, as listed in Alexandria via LeMat-Bulk.

**Volume**: 477.7 Å³ per cell
**Energy relative to the lowest polymorph listed for this composition**: 0.336 eV/atom
**Crystal system**: cubic
**DFT formation energy**: -0.637 eV per atom

a = 7.817 Å, b = 7.817 Å, c = 7.817 Å
α = 90.00°, β = 90.00°, γ = 90.00°
Space group Fm-3m (No. 225)
Inequivalent atoms, fractional coordinates:
Ac1 0.250 0.250 0.250 (multiplicity 8)
Ga1 0.000 0.000 0.000 (multiplicity 4)
As1 0.000 0.000 0.500 (multiplicity 4)



Entry 6:
First-principles (PBE-GGA) data for an optimized crystal structure of Ta2InNiH, as listed in Alexandria via LeMat-Bulk.

**Volume**: 70.1 Å³ per cell
**Crystal system**: tetragonal

a = 4.019 Å, b = 4.019 Å, c = 4.338 Å
α = 90.00°, β = 90.00°, γ = 90.00°
Space group P4/mmm (No. 123)
Inequivalent atoms, fractional coordinates:
Ta1 0.000 0.500 0.000 (multiplicity 2)
In1 0.000 0.000 0.500 (multiplicity 1)
Ni1 0.500 0.500 0.500 (multiplicity 1)
H1 0.500 0.500 0.000 (multiplicity 1)



Entry 7:
First-principles (PBE-GGA) data for an optimized crystal structure of RbHgGe2As, as listed in Alexandria via LeMat-Bulk.

**Volume**: 177.3 Å³ per cell
**Crystal system**: tetragonal
**DFT formation energy**: 0.328 eV per atom

a = 5.166 Å, b = 5.166 Å, c = 6.644 Å
α = 90.00°, β = 90.00°, γ = 90.00°
Space group P4/mmm (No. 123)
Inequivalent atoms, fractional coordinates:
Rb1 0.000 0.000 0.000 (multiplicity 1)
Hg1 0.500 0.500 0.000 (multiplicity 1)
Ge1 0.000 0.500 0.500 (multiplicity 2)
As1 0.000 0.000 0.500 (multiplicity 1)



Entry 8:
First-principles (PBE-GGA) data for an optimized crystal structure of TlCd2Ni, as listed in Alexandria via LeMat-Bulk.

**Volume**: 89.2 Å³ per cell
**Energy relative to the lowest polymorph listed for this composition**: 0.045 eV/atom
**Crystal system**: monoclinic
**DFT formation energy**: 0.130 eV per atom

a = 4.263 Å, b = 3.008 Å, c = 7.270 Å
α = 90.00°, β = 106.84°, γ = 90.00°
Space group Pm (No. 6)
Inequivalent atoms, fractional coordinates:
Tl1 0.000 0.000 0.000 (multiplicity 1)
Cd1 0.357 0.500 0.708 (multiplicity 1)
Cd2 0.703 0.000 0.403 (multiplicity 1)
Ni1 0.165 0.500 0.329 (multiplicity 1)



Entry 9:
First-principles (PBE-GGA) data for an optimized crystal structure of Ta3ReSi, as listed in Alexandria via LeMat-Bulk.

**Volume**: 113.0 Å³ per cell
**Formation energy (no corrections)**: 1389 meV per atom
**Energy relative to the lowest polymorph listed for this composition**: 0.362 eV/atom
**Crystal system**: cubic

a = 4.834 Å, b = 4.834 Å, c = 4.834 Å
α = 90.00°, β = 90.00°, γ = 90.00°
Space group Pm-3m (No. 221)
Inequivalent atoms, fractional coordinates:
Ta1 0.000 0.000 0.500 (multiplicity 3)
Re1 0.000 0.000 0.000 (multiplicity 1)
Si1 0.500 0.500 0.500 (multiplicity 1)



Entry 10:
First-principles (PBE-GGA) data for an optimized crystal structure of PuHgBiPb, as listed in Alexandria via LeMat-Bulk.

**Volume**: 110.5 Å³ per cell
**Energy relative to the lowest polymorph listed for this composition**: 0.000 eV/atom
**Crystal system**: orthorhombic
**DFT formation energy**: -0.210 eV per atom

a = 4.601 Å, b = 4.738 Å, c = 5.070 Å
α = 90.00°, β = 90.00°, γ = 90.00°
Space group Pmmm (No. 47)
Inequivalent atoms, fractional coordinates:
Pu1 0.000 0.000 0.000 (multiplicity 1)
Hg1 0.000 0.500 0.500 (multiplicity 1)
Bi1 0.500 0.500 0.000 (multiplicity 1)
Pb1 0.500 0.000 0.500 (multiplicity 1)



Entry 11:
First-principles (PBE-GGA) data for an optimized crystal structure of Al4InO7, as listed in Alexandria via LeMat-Bulk.

**Volume**: 344.5 Å³ per cell
**Formation energy (no corrections)**: -2581 meV per atom
**Crystal system**: orthorhombic

a = 12.918 Å, b = 5.278 Å, c = 5.053 Å
α = 90.00°, β = 90.00°, γ = 90.00°
Space group Pmn2_1 (No. 31)
Inequivalent atoms, fractional coordinates:
Al1 0.122 0.170 0.000 (multiplicity 4)
Al2 0.247 0.668 0.986 (multiplicity 4)
In1 0.000 0.663 0.702 (multiplicity 2)
O1 0.000 0.292 0.898 (multiplicity 2)
O2 0.130 0.841 0.924 (multiplicity 4)
O3 0.146 0.213 0.332 (multiplicity 4)
O4 0.218 0.365 0.830 (multiplicity 4)



Entry 12:
First-principles (PBE-GGA) data for an optimized crystal structure of TaReAg2, as listed in Alexandria via LeMat-Bulk.

**Volume**: 68.4 Å³ per cell
**Energy relative to the lowest polymorph listed for this composition**: 0.105 eV/atom
**Crystal system**: monoclinic
**DFT formation energy**: 0.328 eV per atom

a = 2.794 Å, b = 4.122 Å, c = 5.949 Å
α = 90.00°, β = 93.67°, γ = 90.00°
Space group Pm (No. 6)
Inequivalent atoms, fractional coordinates:
Ta1 0.000 0.000 0.000 (multiplicity 1)
Re1 0.618 0.500 0.779 (multiplicity 1)
Ag1 0.080 0.000 0.512 (multiplicity 1)
Ag2 0.556 0.500 0.275 (multiplicity 1)



no.,calculated total energy (Ry per atom)
1,-0.3244
2,-0.4559
3,-0.5103
4,-0.1184
5,-0.3389
6,-0.5227
7,-0.1987
8,-0.1738
9,-0.6833
10,-0.4238
11,-0.5107
12,-0.5272